VASP calculation (PBE-GGA) on an optimized crystal structure of LiAl2Re.

total DFT energy (no corrections) = -5.589 eV/atom
M_tot = 0.0 μB per cell
formation energy from the elements = -0.13 eV per atom

Cell: 5.033 5.033 4.495 Å, 71.52 71.52 32.74°
Element x y z (fractional)
Li  0.500  0.500  0.550
Al  0.997  0.997  0.069
Re  0.256  0.256  0.187
Al  0.747  0.747  0.693